No. 1
Cd3Tc, relaxed, DFT PBE-GGA; offset from the most stable computed form = 68.7 meV/atom; DFT formation energy = 0.323 eV per atom
1.0
5.8881 0.0000 0.0000
0.0000 8.8267 0.0000
0.0000 0.0000 2.9017
Cd Tc
6 2
direct
0.0000 0.0000 0.0000
0.2500 0.2500 0.5000
0.2500 0.7500 0.5000
0.5000 0.5000 0.0000
0.7500 0.2500 0.5000
0.7500 0.7500 0.5000
0.0000 0.5000 0.0000
0.5000 0.0000 0.0000

No. 2
ScAsSe2N, relaxed, DFT PBE-GGA; offset from the most stable computed form = 710.1 meV/atom; raw formation energy = 0.881 eV/atom
1.0
5.1278 0.0000 0.0000
0.0000 5.1278 0.0000
0.0000 0.0000 5.2697
Sc As Se N
1 1 2 1
direct
0.0000 0.0000 0.0000
0.0000 0.0000 0.5000
0.0000 0.5000 0.0000
0.5000 0.0000 0.0000
0.5000 0.5000 0.5000

No. 3
TbAlGa2, relaxed, DFT PBE-GGA; DFT formation energy = -0.348 eV per atom
1.0
5.5513 0.0000 0.0000
0.0000 9.2414 0.0000
0.0000 0.0000 3.1941
Tb Al Ga
2 2 4
direct
0.0000 0.0000 0.0000
0.5000 0.5000 0.0000
0.0000 0.5000 0.5000
0.5000 0.0000 0.5000
0.2500 0.2500 0.5000
0.2500 0.7500 0.5000
0.7500 0.2500 0.5000
0.7500 0.7500 0.5000

No. 4
ScSbRu2, relaxed, DFT PBE-GGA; raw formation energy = -0.348 eV/atom
1.0
3.8650 0.0000 0.0000
0.0000 3.8650 0.0000
0.0000 0.0000 8.9494
Sc Sb Ru
2 2 4
direct
0.0000 0.0000 0.0000
0.5000 0.5000 0.5000
0.0000 0.5000 0.2500
0.5000 0.0000 0.7500
0.0000 0.0000 0.5000
0.0000 0.5000 0.7500
0.5000 0.0000 0.2500
0.5000 0.5000 0.0000

No. 5
TlMoPb2, relaxed, DFT PBE-GGA; offset from the most stable computed form = 22.8 meV/atom; DFT formation energy = 0.485 eV per atom
1.0
3.3190 0.0000 0.0000
-1.6595 2.8744 0.0000
0.0000 0.0000 32.6335
Tl Mo Pb
3 3 6
direct
0.0000 0.0000 0.0000
0.3333 0.6667 0.6667
0.6667 0.3333 0.3333
0.0000 0.0000 0.5000
0.3333 0.6667 0.1667
0.6667 0.3333 0.8333
0.0000 0.0000 0.2364
0.0000 0.0000 0.7636
0.3333 0.6667 0.4303
0.3333 0.6667 0.9030
0.6667 0.3333 0.0970
0.6667 0.3333 0.5697

No. 6
RbCI3, relaxed, DFT PBE-GGA; offset from the most stable computed form = 1228.0 meV/atom; raw formation energy = 1.630 eV/atom
1.0
6.9342 0.0000 0.0000
0.0000 6.9342 0.0000
0.0000 0.0000 6.9342
Rb C I
1 1 3
direct
0.0000 0.0000 0.0000
0.5000 0.5000 0.5000
0.0000 0.0000 0.5000
0.0000 0.5000 0.0000
0.5000 0.0000 0.0000

no.,energy (eV/f.u.)
1,-11.8
2,-21.9
3,-15.8
4,-30.4
5,-18.7
6,-6.7